An optimized crystal structure of AlTl2Si, computed with PBE.

Computed properties:
Formation energy from raw total energies in eV per atom: 0.49
Size of the total moment in μB per atom: 0.000

Geometry as CIF:
```
data_AlTl2Si
_cell_length_a 3.1904
_cell_length_b 3.1904
_cell_length_c 32.7967
_cell_angle_alpha 90.00
_cell_angle_beta 90.00
_cell_angle_gamma 120.00
_space_group_name_H-M_alt 'R -3 m'
_space_group_IT_number 166
_space_group_name_Hall '-R 3 2"'
loop_
_atom_site_label
_atom_site_type_symbol
_atom_site_fract_x
_atom_site_fract_y
_atom_site_fract_z
Al1 Al 0.0000 0.0000 0.0000
Tl1 Tl 0.0000 0.0000 0.2505
Si1 Si 0.0000 0.0000 0.5000
```